First-principles (GGA+U) data for crystalline Er2Mo3H2Se2O17 at its relaxed geometry, as listed in Alexandria via LeMat-Bulk.

Fermi-level density of states in states/eV per cell: 0.000
Total DFT energy (no corrections) in eV/atom: -6.7064
Space-group type: P2_1/m (11)

Cell and atoms, written as POSCAR:
```
Er2Mo3H2Se2O17
1.0
6.804 0.000 0.011
0.000 7.289 0.000
-2.356 0.000 14.103
Er Mo H Se O
4 6 4 4 34
direct
0.618 0.250 0.538 Er
0.382 0.750 0.462 Er
0.260 0.250 0.123 Er
0.740 0.750 0.877 Er
0.794 0.004 0.136 Mo
0.206 0.504 0.864 Mo
0.206 0.996 0.864 Mo
0.794 0.496 0.136 Mo
0.864 0.750 0.333 Mo
0.136 0.250 0.667 Mo
0.755 0.357 0.356 H
0.245 0.857 0.644 H
0.245 0.643 0.644 H
0.755 0.143 0.356 H
0.214 0.250 0.382 Se
0.786 0.750 0.618 Se
0.258 0.750 0.194 Se
0.742 0.250 0.806 Se
0.355 0.073 0.444 O
0.645 0.573 0.556 O
0.645 0.927 0.556 O
0.355 0.427 0.444 O
0.294 0.250 0.275 O
0.706 0.750 0.725 O
0.197 0.750 0.305 O
0.803 0.250 0.695 O
0.121 0.940 0.145 O
0.879 0.440 0.855 O
0.879 0.060 0.855 O
0.121 0.560 0.145 O
0.912 0.250 0.128 O
0.088 0.750 0.872 O
0.772 0.932 0.017 O
0.228 0.432 0.983 O
0.228 0.068 0.983 O
0.772 0.568 0.017 O
0.548 0.075 0.141 O
0.452 0.575 0.859 O
0.452 0.925 0.859 O
0.548 0.425 0.141 O
0.872 0.997 0.286 O
0.128 0.497 0.714 O
0.128 0.003 0.714 O
0.872 0.503 0.286 O
0.768 0.750 0.177 O
0.232 0.250 0.823 O
0.622 0.750 0.364 O
0.378 0.250 0.636 O
0.021 0.750 0.445 O
0.979 0.250 0.555 O
0.708 0.250 0.389 O
0.292 0.750 0.611 O
```